Record 1
! Sc2Ni12P7 PBE relaxed; values from VASP
&SYSTEM
  ibrav = 0, nat = 21, ntyp = 3
/
ATOMIC_SPECIES
Sc 44.96 Sc.upf
Ni 58.69 Ni.upf
P 30.97 P.upf
CELL_PARAMETERS angstrom
8.9959 0.0000 0.0000
-4.4979 7.7907 0.0000
0.0000 0.0000 3.5976
ATOMIC_POSITIONS crystal
Sc 0.0000 0.0000 0.0000
Sc 0.3333 0.6667 0.5000
Ni 0.0504 0.7677 0.5000
Ni 0.1024 0.3958 0.0000
Ni 0.2323 0.2827 0.5000
Ni 0.2934 0.8976 0.0000
Ni 0.3905 0.2126 0.0000
Ni 0.5403 0.1135 0.5000
Ni 0.5732 0.4597 0.5000
Ni 0.6042 0.7066 0.0000
Ni 0.7173 0.9496 0.5000
Ni 0.7874 0.1779 0.0000
Ni 0.8221 0.6095 0.0000
Ni 0.8865 0.4268 0.5000
P 0.0794 0.6272 0.0000
P 0.2549 0.0402 0.5000
P 0.3728 0.4523 0.0000
P 0.5477 0.9206 0.0000
P 0.6667 0.3333 0.0000
P 0.7853 0.7451 0.5000
P 0.9598 0.2147 0.5000
! DFT total energy	-135.73	eV/cell
! DOS at the Fermi energy	14.025	states/eV/f.u.
! crystal system	hexagonal
! energy of formation from the pure elements	-0.7533	eV/atom

=====

Record 2
! Sc4NiP PBE relaxed; values from VASP
&SYSTEM
  ibrav = 0, nat = 6, ntyp = 3
/
ATOMIC_SPECIES
Sc 44.96 Sc.upf
Ni 58.69 Ni.upf
P 30.97 P.upf
CELL_PARAMETERS angstrom
0.0000 3.9197 3.9197
3.9197 0.0000 3.9197
3.9197 3.9197 0.0000
ATOMIC_POSITIONS crystal
Sc 0.1251 0.1251 0.1251
Sc 0.1251 0.1251 0.6247
Sc 0.1251 0.6247 0.1251
Sc 0.6247 0.1251 0.1251
Ni 0.7500 0.7500 0.7500
P 0.5000 0.5000 0.5000
! DFT total energy	-33.78	eV/cell
! DOS at the Fermi energy	8.946	states/eV/f.u.
! crystal system	cubic
! energy of formation from the pure elements	0.4561	eV/atom

=====

Record 3
! ScNiP2 PBE relaxed; values from VASP
&SYSTEM
  ibrav = 0, nat = 4, ntyp = 3
/
ATOMIC_SPECIES
Sc 44.96 Sc.upf
Ni 58.69 Ni.upf
P 30.97 P.upf
CELL_PARAMETERS angstrom
0.0000 3.0889 3.0889
3.0889 0.0000 3.0889
3.0889 3.0889 0.0000
ATOMIC_POSITIONS crystal
Sc 0.0000 0.0000 0.0000
Ni 0.7500 0.7500 0.7500
P 0.2500 0.2500 0.2500
P 0.5000 0.5000 0.5000
! DFT total energy	-23.67	eV/cell
! DOS at the Fermi energy	2.429	states/eV/f.u.
! crystal system	cubic
! energy of formation from the pure elements	-0.1839	eV/atom